No. 1
This record from Alexandria describes a relaxed structure of LaAl2. The functional is PBE.

## Properties
D(E_F)	3.32	states/eV/f.u.
final energy	-46.2	eV for the cell shown
ΔE_f	27.9	kJ per mole of atoms
space-group type	Fm-3m (225)
mass density	3.6	g cm⁻³

The structure in POSCAR format:
```
LaAl2
1.0
7.0971 0.0000 0.0000
0.0000 7.0971 0.0000
0.0000 0.0000 7.0971
La Al
4 8
Direct
0.0000 0.0000 0.0000 La
0.0000 0.5000 0.5000 La
0.5000 0.0000 0.5000 La
0.5000 0.5000 0.0000 La
0.2500 0.2500 0.2500 Al
0.2500 0.2500 0.7500 Al
0.2500 0.7500 0.2500 Al
0.2500 0.7500 0.7500 Al
0.7500 0.2500 0.2500 Al
0.7500 0.2500 0.7500 Al
0.7500 0.7500 0.2500 Al
0.7500 0.7500 0.7500 Al
```

***

No. 2
This record from Alexandria describes a relaxed structure of LaAl. The functional is PBE.

## Properties
D(E_F)	1.91	states/eV/f.u.
final energy	-55.3	eV for the cell shown
ΔE_f	-26.7	kJ per mole of atoms
space-group type	Cm (8)
mass density	4.9	g cm⁻³

The structure in POSCAR format:
```
LaAl
1.0
11.5154 0.0000 0.0000
0.0000 4.8131 0.0000
-2.3184 0.0000 6.0623
La Al
6 6
Direct
0.0000 0.0000 0.0000 La
0.1312 0.5000 0.6047 La
0.3350 0.0000 0.0811 La
0.5000 0.5000 0.0000 La
0.6312 0.0000 0.6047 La
0.8350 0.5000 0.0811 La
0.1807 0.5000 0.1403 Al
0.3309 0.0000 0.5789 Al
0.4126 0.5000 0.4522 Al
0.6807 0.0000 0.1403 Al
0.8309 0.5000 0.5789 Al
0.9126 0.0000 0.4522 Al
```

***

No. 3
This record from Alexandria describes a relaxed structure of La3Al. The functional is PBE.

## Properties
D(E_F)	5.21	states/eV/f.u.
final energy	-38.3	eV for the cell shown
ΔE_f	-14.8	kJ per mole of atoms
space-group type	Imm2 (44)
mass density	5.8	g cm⁻³

The structure in POSCAR format:
```
La3Al
1.0
3.7244 0.0000 0.0000
0.0000 11.4572 0.0000
0.0000 0.0000 5.9176
La Al
6 2
Direct
0.0000 0.0000 0.0000 La
0.0000 0.2191 0.6104 La
0.0000 0.7809 0.6104 La
0.5000 0.2809 0.1104 La
0.5000 0.5000 0.5000 La
0.5000 0.7191 0.1104 La
0.0000 0.5000 0.9639 Al
0.5000 0.0000 0.4639 Al
```

***

No. 4
This record from Alexandria describes a relaxed structure of La3Al. The functional is PBE.

## Properties
D(E_F)	5.63	states/eV/f.u.
final energy	-37.8	eV for the cell shown
ΔE_f	-9.5	kJ per mole of atoms
space-group type	Pm-3n (223)
mass density	5.8	g cm⁻³

The structure in POSCAR format:
```
La3Al
1.0
6.3484 0.0000 0.0000
0.0000 6.3484 0.0000
0.0000 0.0000 6.3484
La Al
6 2
Direct
0.0000 0.2500 0.5000 La
0.0000 0.7500 0.5000 La
0.2500 0.5000 0.0000 La
0.5000 0.0000 0.2500 La
0.5000 0.0000 0.7500 La
0.7500 0.5000 0.0000 La
0.0000 0.0000 0.0000 Al
0.5000 0.5000 0.5000 Al
```

***

No. 5
This record from Alexandria describes a relaxed structure of LaAl. The functional is PBE.

## Properties
D(E_F)	2.17	states/eV/f.u.
final energy	-54.6	eV for the cell shown
ΔE_f	-21.1	kJ per mole of atoms
space-group type	P6_3/mmc (194)
mass density	5.0	g cm⁻³

The structure in POSCAR format:
```
LaAl
1.0
9.0902 0.0000 0.0000
-4.5451 7.8724 0.0000
0.0000 0.0000 4.6445
La Al
6 6
Direct
0.1703 0.3406 0.2500 La
0.1703 0.8297 0.2500 La
0.3406 0.1703 0.7500 La
0.6594 0.8297 0.2500 La
0.8297 0.1703 0.7500 La
0.8297 0.6594 0.7500 La
0.1279 0.5640 0.7500 Al
0.4360 0.5640 0.7500 Al
0.4360 0.8721 0.7500 Al
0.5640 0.1279 0.2500 Al
0.5640 0.4360 0.2500 Al
0.8721 0.4360 0.2500 Al
```

***

No. 6
This record from Alexandria describes a relaxed structure of LaAl2. The functional is PBE.

## Properties
D(E_F)	2.17	states/eV/f.u.
final energy	-27.8	eV for the cell shown
ΔE_f	-48.4	kJ per mole of atoms
space-group type	Fd-3m (227)
mass density	4.8	g cm⁻³

The structure in POSCAR format:
```
LaAl2
1.0
0.0000 4.0699 4.0699
4.0699 0.0000 4.0699
4.0699 4.0699 0.0000
La Al
2 4
Direct
0.1250 0.1250 0.1250 La
0.8750 0.8750 0.8750 La
0.0000 0.5000 0.5000 Al
0.5000 0.0000 0.5000 Al
0.5000 0.5000 0.0000 Al
0.5000 0.5000 0.5000 Al
```

***

No. 7
This record from Alexandria describes a relaxed structure of La2Al3. The functional is PBE.

## Properties
D(E_F)	3.64	states/eV/f.u.
final energy	-46.4	eV for the cell shown
ΔE_f	-41.2	kJ per mole of atoms
space-group type	Cmce (64)
mass density	4.7	g cm⁻³

The structure in POSCAR format:
```
La2Al3
1.0
2.8336 -5.4956 0.0000
2.8336 5.4956 0.0000
0.0000 0.0000 8.2247
La Al
4 6
Direct
0.1558 0.8442 0.9016 La
0.3442 0.6558 0.4016 La
0.6558 0.3442 0.5984 La
0.8442 0.1558 0.0984 La
0.0000 0.0000 0.5000 Al
0.1544 0.3456 0.7500 Al
0.3456 0.1544 0.2500 Al
0.5000 0.5000 0.0000 Al
0.6544 0.8456 0.7500 Al
0.8456 0.6544 0.2500 Al
```

***

No. 8
This record from Alexandria describes a relaxed structure of LaAl2. The functional is PBE.

## Properties
D(E_F)	1.24	states/eV/f.u.
final energy	-54.1	eV for the cell shown
ΔE_f	-35.5	kJ per mole of atoms
space-group type	C2/m (12)
mass density	4.4	g cm⁻³

The structure in POSCAR format:
```
LaAl2
1.0
11.7085 0.0000 0.0000
0.0000 4.2942 0.0000
-0.6363 0.0000 5.8527
La Al
4 8
Direct
0.1093 0.0000 0.3363 La
0.3907 0.5000 0.6637 La
0.6093 0.5000 0.3363 La
0.8907 0.0000 0.6637 La
0.0877 0.5000 0.8457 Al
0.2211 0.0000 0.8498 Al
0.2789 0.5000 0.1502 Al
0.4123 0.0000 0.1543 Al
0.5877 0.0000 0.8457 Al
0.7211 0.5000 0.8498 Al
0.7789 0.0000 0.1502 Al
0.9123 0.5000 0.1543 Al
```

***

No. 9
This record from Alexandria describes a relaxed structure of LaAl. The functional is PBE.

## Properties
D(E_F)	1.39	states/eV/f.u.
final energy	-75.2	eV for the cell shown
ΔE_f	-35.4	kJ per mole of atoms
space-group type	P2_12_12_1 (19)
mass density	5.0	g cm⁻³

The structure in POSCAR format:
```
LaAl
1.0
6.0774 0.0000 0.0000
0.0000 6.1435 0.0000
0.0000 0.0000 11.8817
La Al
8 8
Direct
0.1263 0.0642 0.4851 La
0.1355 0.6884 0.6803 La
0.3645 0.3116 0.1803 La
0.3737 0.9358 0.9851 La
0.6263 0.4358 0.5149 La
0.6355 0.8116 0.3197 La
0.8645 0.1884 0.8197 La
0.8737 0.5642 0.0149 La
0.1389 0.5644 0.4021 Al
0.1393 0.8219 0.2218 Al
0.3607 0.1781 0.7218 Al
0.3611 0.4356 0.9021 Al
0.6393 0.6781 0.7782 Al
0.6389 0.9356 0.5979 Al
0.8611 0.0644 0.0979 Al
0.8607 0.3219 0.2782 Al
```

***

No. 10
This record from Alexandria describes a relaxed structure of LaAl4. The functional is PBE.

## Properties
D(E_F)	1.91	states/eV/f.u.
distance to the lowest polymorph of the same formula	0.00	eV per formula unit
final energy	-43.4	eV for the cell shown
ΔE_f	-34.6	kJ per mole of atoms
space-group type	I4/mmm (139)
mass density	3.9	g cm⁻³

The structure in POSCAR format:
```
LaAl4
1.0
4.3581 0.0000 0.0000
0.0000 4.3581 0.0000
0.0000 0.0000 11.2072
La Al
2 8
Direct
0.0000 0.0000 0.0000 La
0.5000 0.5000 0.5000 La
0.0000 0.0000 0.3859 Al
0.0000 0.0000 0.6141 Al
0.0000 0.5000 0.2500 Al
0.0000 0.5000 0.7500 Al
0.5000 0.0000 0.2500 Al
0.5000 0.0000 0.7500 Al
0.5000 0.5000 0.1141 Al
0.5000 0.5000 0.8859 Al
```

***

No. 11
This record from Alexandria describes a relaxed structure of Li2LaAl. The functional is PBE.

## Properties
D(E_F)	3.29	states/eV/f.u.
final energy	-35.6	eV for the cell shown
ΔE_f	15.3	kJ per mole of atoms
space-group type	R-3m (166)
mass density	3.2	g cm⁻³

The structure in POSCAR format:
```
Li2LaAl
1.0
3.3026 0.0000 0.0000
-1.6513 2.8601 0.0000
0.0000 0.0000 30.0875
Li La Al
6 3 3
Direct
0.0000 0.0000 0.2365 Li
0.0000 0.0000 0.7635 Li
0.3333 0.6667 0.4302 Li
0.3333 0.6667 0.9031 Li
0.6667 0.3333 0.0969 Li
0.6667 0.3333 0.5698 Li
0.0000 0.0000 0.0000 La
0.3333 0.6667 0.6667 La
0.6667 0.3333 0.3333 La
0.0000 0.0000 0.5000 Al
0.3333 0.6667 0.1667 Al
0.6667 0.3333 0.8333 Al
```

***

No. 12
This record from Alexandria describes a relaxed structure of LiLa2Al7. The functional is PBE.

## Properties
D(E_F)	2.96	states/eV/f.u.
final energy	-41.7	eV for the cell shown
ΔE_f	-35.7	kJ per mole of atoms
space-group type	P-4m2 (115)
mass density	3.7	g cm⁻³

The structure in POSCAR format:
```
LiLa2Al7
1.0
4.3743 0.0000 0.0000
0.0000 4.3743 0.0000
0.0000 0.0000 11.1479
Li La Al
1 2 7
Direct
0.0000 0.0000 0.0000 Li
0.0000 0.5000 0.7454 La
0.5000 0.0000 0.2546 La
0.0000 0.0000 0.5000 Al
0.0000 0.5000 0.1330 Al
0.0000 0.5000 0.3622 Al
0.5000 0.0000 0.6378 Al
0.5000 0.0000 0.8670 Al
0.5000 0.5000 0.0000 Al
0.5000 0.5000 0.5000 Al
```